The following is a DFT calculation (PBE) of an optimized crystal structure of GdZrOsAu.

a = 6.887 Å, b = 6.887 Å, c = 6.887 Å
α = 90.00°, β = 90.00°, γ = 90.00°
Space group F-43m (No. 216)
Symmetry-distinct sites (fractional):
Gd1 0.000 0.000 0.000 (multiplicity 4)
Zr1 0.000 0.000 0.500 (multiplicity 4)
Os1 0.250 0.250 0.250 (multiplicity 4)
Au1 0.250 0.250 0.750 (multiplicity 4)

---

The following is a DFT calculation (PBE) of an optimized crystal structure of Gd2PAu.

a = 4.0212 Å, b = 4.0212 Å, c = 21.5691 Å
α = 90.00°, β = 90.00°, γ = 120.00°
Space group R-3m (No. 166, hexagonal axes)
Symmetry-distinct sites (fractional):
Gd1 0.0000 0.0000 0.2418 (multiplicity 6)
P1 0.0000 0.0000 0.5000 (multiplicity 3)
Au1 0.0000 0.0000 0.0000 (multiplicity 3)

---

The following is a DFT calculation (PBE) of an optimized crystal structure of Gd2PaAu.

Calculated values
The energy above the most stable polymorph in this dataset is 0.3600 eV/atom.

a = 3.3021 Å, b = 3.3021 Å, c = 33.6457 Å
α = 90.00°, β = 90.00°, γ = 120.00°
Space group R-3m (No. 166, hexagonal axes)
Symmetry-distinct sites (fractional):
Gd1 0.0000 0.0000 0.0952 (multiplicity 6)
Pa1 0.0000 0.0000 0.0000 (multiplicity 3)
Au1 0.0000 0.0000 0.5000 (multiplicity 3)

---

The following is a DFT calculation (PBE) of an optimized crystal structure of Gd2PaAu.

Calculated values
The energy above the most stable polymorph in this dataset is 0.0000 eV/atom.

a = 3.534 Å, b = 3.534 Å, c = 8.284 Å
α = 90.00°, β = 90.00°, γ = 90.00°
Space group P4/mmm (No. 123)
Symmetry-distinct sites (fractional):
Gd1 0.000 0.000 0.226 (multiplicity 2)
Pa1 0.500 0.500 0.500 (multiplicity 1)
Au1 0.500 0.500 0.000 (multiplicity 1)

---

no.,N(E_F) (states/eV/f.u.),E_form (kcal/mol of atoms)
1,3.984,-8.065
2,3.315,-25.721
3,5.515,1.971
4,5.113,-6.330